Entry 1:
Below is an optimized crystal structure of PuNbO, with properties calculated at the PBE level.

Results
VASP energy (eV per atom): -10.869
Uncorrected formation energy (eV/atom): -1.08
Volume (Å³/cell): 94

Lattice parameters (Å, degrees): 12.211 2.996 2.996 59.26 90.00 90.00
Positions (direct):
Pu: 0.000 0.000 0.000
Pu: 0.500 0.279 0.279
Nb: 0.227 0.279 0.279
Nb: 0.773 0.279 0.279
O: 0.342 0.947 0.947
O: 0.658 0.947 0.947

Entry 2:
Below is an optimized crystal structure of LuBr, with properties calculated at the PBE level.

Results
VASP energy (eV per atom): -4.201
Uncorrected formation energy (eV/atom): -1.10
Volume (Å³/cell): 122

Lattice parameters (Å, degrees): 3.628 3.628 9.243 90.00 90.20 90.00
Positions (direct):
Lu: 0.249 0.250 0.377
Lu: 0.751 0.750 0.623
Br: 0.253 0.250 0.795
Br: 0.747 0.750 0.205

Entry 3:
Below is an optimized crystal structure of Dy2Ni2Ge3, with properties calculated at the PBE level.

Results
VASP energy (eV per atom): -5.547
Volume (Å³/cell): 124

Lattice parameters (Å, degrees): 5.428 5.428 6.615 111.79 111.79 43.76
Positions (direct):
Dy: 0.148 0.148 0.284
Dy: 0.852 0.852 0.716
Ni: 0.142 0.142 0.747
Ni: 0.858 0.858 0.253
Ge: 0.382 0.382 0.054
Ge: 0.500 0.500 0.500
Ge: 0.618 0.618 0.946